# SrH3Pt | Alexandria | GGA-PBE | relaxed
data_SrH3Pt
_chemical_formula_sum 'Sr1 H3 Pt1'
_space_group_name_H-M_alt 'P 1'
_space_group_IT_number 1
_cell_length_a 3.706
_cell_length_b 4.429
_cell_length_c 4.429
_cell_angle_alpha 105.55
_cell_angle_beta 90.00
_cell_angle_gamma 90.00
loop_
_space_group_symop_operation_xyz
'x,y,z'
loop_
_atom_site_label
_atom_site_type_symbol
_atom_site_fract_x
_atom_site_fract_y
_atom_site_fract_z
Sr1 Sr 0.000 0.397 0.603
Pt1 Pt 0.500 0.044 0.956
H1 H 0.500 0.772 0.615
H2 H 0.000 0.029 0.971
H3 H 0.500 0.385 0.228
# - DOS(E_F) (states/eV/f.u.) = 0.52
# - raw total energy (eV per atom) = -4.072
# - SG = Amm2, No. 38

# NaSc3In | Alexandria | GGA-PBE | relaxed
data_NaSc3In
_chemical_formula_sum 'Na1 Sc3 In1'
_space_group_name_H-M_alt 'P 1'
_space_group_IT_number 1
_cell_length_a 5.129
_cell_length_b 5.129
_cell_length_c 5.129
_cell_angle_alpha 90.00
_cell_angle_beta 90.00
_cell_angle_gamma 90.00
loop_
_space_group_symop_operation_xyz
'x,y,z'
loop_
_atom_site_label
_atom_site_type_symbol
_atom_site_fract_x
_atom_site_fract_y
_atom_site_fract_z
Sc1 Sc 0.500 0.000 0.000
Sc2 Sc 0.000 0.500 0.000
Sc3 Sc 0.000 0.000 0.500
Na1 Na 0.000 0.000 0.000
In1 In 0.500 0.500 0.500
# - DOS(E_F) (states/eV/f.u.) = 4.85
# - raw total energy (eV per atom) = -3.781
# - energy above the most stable polymorph in this dataset (eV/atom) = 0.335
# - E_form (eV/atom) = 0.83
# - SG = Pm-3m, No. 221

# SrCuSi2Pt | Alexandria | GGA-PBE | relaxed
data_SrCuSi2Pt
_chemical_formula_sum 'Sr1 Cu1 Si2 Pt1'
_space_group_name_H-M_alt 'P 1'
_space_group_IT_number 1
_cell_length_a 4.255
_cell_length_b 4.255
_cell_length_c 5.853
_cell_angle_alpha 111.31
_cell_angle_beta 111.31
_cell_angle_gamma 90.00
loop_
_space_group_symop_operation_xyz
'x,y,z'
loop_
_atom_site_label
_atom_site_type_symbol
_atom_site_fract_x
_atom_site_fract_y
_atom_site_fract_z
Cu1 Cu 0.750 0.250 0.500
Si1 Si 0.375 0.375 0.750
Si2 Si 0.625 0.625 0.250
Pt1 Pt 0.250 0.750 0.500
Sr1 Sr 0.000 0.000 0.000
# - DOS(E_F) (states/eV/f.u.) = 2.14
# - raw total energy (eV per atom) = -5.155
# - energy above the most stable polymorph in this dataset (eV/atom) = 0.000
# - ΔE_f (raw) (eV per atom) = -0.622
# - SG = I-4m2, No. 119